[1]
Crystalline TeIrBr at its relaxed geometry, computed with PBE-GGA.

density of states at the Fermi level = 8.70 states/eV/cell
raw formation energy = 0.4064 eV/atom
spin magnetization = 0.00 μB/f.u.
uncorrected energy = -4.1521 eV per atom

Cell: 6.5468 6.5468 6.5468 Å, 90.00 90.00 90.00°
Fractional positions:
Te1 0.0000 0.0000 0.0000
Te2 0.0000 0.5000 0.5000
Te3 0.5000 0.0000 0.5000
Te4 0.5000 0.5000 0.0000
Ir1 0.2500 0.2500 0.2500
Ir2 0.2500 0.7500 0.7500
Ir3 0.7500 0.2500 0.7500
Ir4 0.7500 0.7500 0.2500
Br1 0.0000 0.0000 0.5000
Br2 0.0000 0.5000 0.0000
Br3 0.5000 0.0000 0.0000
Br4 0.5000 0.5000 0.5000


[2]
Crystalline Na8P2H at its relaxed geometry, computed with PBE-GGA.

density of states at the Fermi level = 2.79 states/eV/cell
spin magnetization = 0.00 μB/f.u.
uncorrected energy = -2.4177 eV per atom

Cell: 8.8212 8.8212 6.5592 Å, 104.34 104.34 32.20°
Fractional positions:
Na1 0.0255 0.0255 0.2778
Na2 0.2175 0.2175 0.1200
Na3 0.3227 0.3227 0.5778
Na4 0.4067 0.4067 0.1861
Na5 0.5933 0.5933 0.8139
Na6 0.6773 0.6773 0.4222
Na7 0.7825 0.7825 0.8800
Na8 0.9745 0.9745 0.7222
P1 0.1575 0.1575 0.6666
P2 0.8425 0.8425 0.3334
H1 0.5000 0.5000 0.0000


[3]
Crystalline Na4Np3GaSe8 at its relaxed geometry, computed with PBE-GGA.

density of states at the Fermi level = 31.63 states/eV/cell
raw formation energy = -1.0842 eV/atom
spin magnetization = 10.31 μB/f.u.
uncorrected energy = -5.7718 eV per atom

Cell: 8.3953 8.3953 8.3953 Å, 60.28 60.28 60.28°
Fractional positions:
Na1 0.0000 0.0000 0.0000
Na2 0.0000 0.5000 0.5000
Na3 0.5000 0.0000 0.5000
Na4 0.5000 0.5000 0.0000
Np1 0.0000 0.0000 0.5000
Np2 0.0000 0.5000 0.0000
Np3 0.5000 0.0000 0.0000
Ga1 0.5000 0.5000 0.5000
Se1 0.2341 0.7446 0.7446
Se2 0.2439 0.2439 0.2439
Se3 0.2554 0.2554 0.7659
Se4 0.2554 0.7659 0.2554
Se5 0.7446 0.2341 0.7446
Se6 0.7446 0.7446 0.2341
Se7 0.7561 0.7561 0.7561
Se8 0.7659 0.2554 0.2554


[4]
Crystalline U2PaN at its relaxed geometry, computed with PBE-GGA.

density of states at the Fermi level = 8.96 states/eV/cell
raw formation energy = -0.1024 eV/atom
spin magnetization = 0.00 μB/f.u.
relative energy among the computed polymorphs = 0.0 meV per atom
uncorrected energy = -10.2018 eV per atom

Cell: 2.8879 2.8879 8.3948 Å, 90.00 90.00 90.00°
Fractional positions:
U1 0.0000 0.0000 0.1776
U2 0.0000 0.0000 0.8224
Pa1 0.5000 0.5000 0.5000
N1 0.5000 0.5000 0.0000


[5]
Crystalline Cs3PmAg2F9 at its relaxed geometry, computed with PBE-GGA.

density of states at the Fermi level = 3.32 states/eV/cell
raw formation energy = -2.5774 eV/atom
spin magnetization = 1.07 μB/f.u.
uncorrected energy = -4.5678 eV per atom

Cell: 6.5566 6.5566 8.1658 Å, 90.00 90.00 120.00°
Fractional positions:
Cs1 0.0000 0.0000 0.0000
Cs2 0.3333 0.6667 0.6971
Cs3 0.6667 0.3333 0.3029
Pm1 0.0000 0.0000 0.5000
Ag1 0.3333 0.6667 0.1610
Ag2 0.6667 0.3333 0.8390
F1 0.0000 0.5000 0.0000
F2 0.1619 0.3237 0.3381
F3 0.1619 0.8381 0.3381
F4 0.3237 0.1619 0.6619
F5 0.5000 0.0000 0.0000
F6 0.5000 0.5000 0.0000
F7 0.6763 0.8381 0.3381
F8 0.8381 0.1619 0.6619
F9 0.8381 0.6763 0.6619


[6]
Crystalline CdCuCl at its relaxed geometry, computed with PBE-GGA.

density of states at the Fermi level = 0.39 states/eV/cell
raw formation energy = 0.1193 eV/atom
spin magnetization = 0.00 μB/f.u.
relative energy among the computed polymorphs = 398.0 meV per atom
uncorrected energy = -2.1667 eV per atom

Cell: 6.4654 6.4654 6.4654 Å, 90.00 90.00 90.00°
Fractional positions:
Cd1 0.0000 0.0000 0.0000
Cd2 0.0000 0.5000 0.5000
Cd3 0.5000 0.0000 0.5000
Cd4 0.5000 0.5000 0.0000
Cu1 0.2500 0.2500 0.7500
Cu2 0.2500 0.7500 0.2500
Cu3 0.7500 0.2500 0.2500
Cu4 0.7500 0.7500 0.7500
Cl1 0.0000 0.0000 0.5000
Cl2 0.0000 0.5000 0.0000
Cl3 0.5000 0.0000 0.0000
Cl4 0.5000 0.5000 0.5000